# NdSm9Dy2 (PBE, relaxed)
# **Symmetry**: No. 123
# **Volume**: 33.44 A^3/atom
# **Crystal system**: tetragonal
# **DFT formation energy**: 0.018 eV per atom
# **DOS(E_F)**: 1.652 states/eV per atom
data_NdSm9Dy2
_chemical_formula_sum 'Nd1 Sm9 Dy2'
_space_group_name_H-M_alt 'P 1'
_space_group_IT_number 1
_cell_length_a 5.113
_cell_length_b 5.113
_cell_length_c 15.346
_cell_angle_alpha 90.00
_cell_angle_beta 90.00
_cell_angle_gamma 90.00
loop_
_space_group_symop_operation_xyz
'x,y,z'
loop_
_atom_site_label
_atom_site_type_symbol
_atom_site_fract_x
_atom_site_fract_y
_atom_site_fract_z
_atom_site_occupancy
Nd1 Nd 0.000 0.000 0.000 1
Sm1 Sm 0.000 0.500 0.169 1
Sm2 Sm 0.000 0.500 0.500 1
Sm3 Sm 0.000 0.500 0.831 1
Sm4 Sm 0.500 0.000 0.169 1
Sm5 Sm 0.500 0.000 0.500 1
Sm6 Sm 0.500 0.000 0.831 1
Sm7 Sm 0.500 0.500 0.000 1
Sm8 Sm 0.500 0.500 0.335 1
Sm9 Sm 0.500 0.500 0.665 1
Dy1 Dy 0.000 0.000 0.334 1
Dy2 Dy 0.000 0.000 0.666 1